# 1
A plane-wave DFT calculation with GGA-PBE was carried out for SiIr2Br after structural relaxation.

Cell lengths 5.7470, 8.6598, 3.0260 Å; angles 90.00, 121.53, 90.00 degrees
Closest atoms and distances in Å follow each position.
Fractional coordinates of all 8 atoms:
Si 0.0000 0.0000 0.0000  4 Ir 2.60, 4 Br 2.87-2.88
Si 0.5000 0.5000 0.0000  4 Ir 2.60, 4 Br 2.87-2.88
Ir 0.2500 0.2500 0.0000  2 Br 2.60, 2 Si 2.60, 4 Ir 2.87-2.88
Ir 0.2500 0.7500 0.0000  2 Br 2.60, 2 Si 2.60, 4 Ir 2.87-2.88
Ir 0.7500 0.2500 0.0000  2 Br 2.60, 2 Si 2.60, 4 Ir 2.87-2.88
Ir 0.7500 0.7500 0.0000  2 Br 2.60, 2 Si 2.60, 4 Ir 2.87-2.88
Br 0.0000 0.5000 0.0000  4 Ir 2.60, 4 Si 2.87-2.88
Br 0.5000 0.0000 0.0000  4 Ir 2.60, 4 Si 2.87-2.88

Properties
ΔE to the lowest computed polymorph = 736 meV per atom

---

# 2
A plane-wave DFT calculation with GGA-PBE was carried out for LaCuB2 after structural relaxation.

Cell lengths 4.2079, 4.2079, 13.9745 Å; angles 90.00, 90.00, 90.00 degrees
Closest atoms and distances in Å follow each position.
Fractional coordinates of all 16 atoms:
La 0.0000 0.2500 0.3750  8 B 2.93, 4 Cu 2.98
La 0.0000 0.7500 0.6250  8 B 2.93, 4 Cu 2.98
La 0.5000 0.2500 0.1250  8 B 2.93, 4 Cu 2.98
La 0.5000 0.7500 0.8750  8 B 2.93, 4 Cu 2.98
Cu 0.0000 0.2500 0.8750  4 B 2.04
Cu 0.0000 0.7500 0.1250  4 B 2.04
Cu 0.5000 0.2500 0.6250  4 B 2.04
Cu 0.5000 0.7500 0.3750  4 B 2.04
B 0.0000 0.0000 0.0000  2 Cu 2.04, 2 B 2.10
B 0.0000 0.5000 0.0000  2 Cu 2.04, 2 B 2.10
B 0.2500 0.2500 0.7500  2 Cu 2.04, 2 B 2.10
B 0.2500 0.7500 0.2500  2 Cu 2.04, 2 B 2.10
B 0.5000 0.0000 0.5000  2 Cu 2.04, 2 B 2.10
B 0.5000 0.5000 0.5000  2 Cu 2.04, 2 B 2.10
B 0.7500 0.2500 0.7500  2 Cu 2.04, 2 B 2.10
B 0.7500 0.7500 0.2500  2 Cu 2.04, 2 B 2.10

Properties
Formation enthalpy at 0 K = 0.1301 eV per atom
ΔE to the lowest computed polymorph = 0 meV per atom

---

# 3
A plane-wave DFT calculation with GGA-PBE was carried out for MnZn6Pd5 after structural relaxation.

Cell lengths 7.3044, 7.3044, 7.3044 Å; angles 147.61, 122.59, 67.48 degrees
Closest atoms and distances in Å follow each position.
Fractional coordinates of all 12 atoms:
Mn 0.0000 0.0000 0.0000  8 Zn 2.72-2.74, 4 Pd 2.78
Zn 0.0869 0.8312 0.2556  7 Pd 2.65-2.73, 1 Mn 2.72, 4 Zn 2.84-2.89
Zn 0.2608 0.5000 0.7608  6 Pd 2.64-2.67, 2 Mn 2.74, 4 Zn 2.89
Zn 0.4244 0.1688 0.2556  7 Pd 2.65-2.73, 1 Mn 2.72, 4 Zn 2.84-2.89
Zn 0.5756 0.8312 0.7444  7 Pd 2.65-2.73, 1 Mn 2.72, 4 Zn 2.84-2.89
Zn 0.7392 0.5000 0.2392  6 Pd 2.64-2.67, 2 Mn 2.74, 4 Zn 2.89
Zn 0.9131 0.1688 0.7444  7 Pd 2.65-2.73, 1 Mn 2.72, 4 Zn 2.84-2.89
Pd 0.1561 0.6561 0.5000  8 Zn 2.64-2.73, 2 Mn 2.78, 2 Pd 2.93
Pd 0.3290 0.3290 0.0000  8 Zn 2.65-2.67, 4 Pd 2.91-2.93
Pd 0.5000 0.0000 0.5000  8 Zn 2.64-2.67, 4 Pd 2.91
Pd 0.6710 0.6710 0.0000  8 Zn 2.65-2.67, 4 Pd 2.91-2.93
Pd 0.8439 0.3439 0.5000  8 Zn 2.64-2.73, 2 Mn 2.78, 2 Pd 2.93

Properties
Formation enthalpy at 0 K = -0.4491 eV per atom

---

# 4
A plane-wave DFT calculation with GGA-PBE was carried out for CeScS3 after structural relaxation.

Cell lengths 8.0004, 8.0004, 4.8194 Å; angles 90.00, 90.00, 131.00 degrees
Closest atoms and distances in Å follow each position.
Fractional coordinates of all 10 atoms:
Ce 0.1656 0.8344 0.0000  1 S 2.75
Ce 0.8344 0.1656 0.0000  1 S 2.75
Sc 0.3864 0.6136 0.5000  6 S 2.45-2.59
Sc 0.6136 0.3864 0.5000  6 S 2.45-2.59
S 0.0000 0.5000 0.5000  2 Sc 2.59
S 0.2221 0.2221 0.5000  2 Sc 2.48
S 0.3547 0.6453 0.0000  2 Sc 2.45
S 0.5000 0.0000 0.5000  2 Sc 2.59
S 0.6453 0.3547 0.0000  2 Sc 2.45
S 0.7779 0.7779 0.5000  2 Sc 2.48

Properties
ΔE to the lowest computed polymorph = 292 meV per atom

---

# 5
A plane-wave DFT calculation with GGA-PBE was carried out for TiGeTe2 after structural relaxation.

Cell lengths 6.5646, 6.5646, 12.7899 Å; angles 90.00, 90.00, 90.00 degrees
Closest atoms and distances in Å follow each position.
Fractional coordinates of all 16 atoms:
Ti 0.0000 0.0000 0.0000  4 Te 2.74
Ti 0.0000 0.5000 0.2500  4 Te 2.74
Ti 0.5000 0.0000 0.7500  4 Te 2.74
Ti 0.5000 0.5000 0.5000  4 Te 2.74
Ge 0.0000 0.0000 0.5000  4 Te 2.90
Ge 0.0000 0.5000 0.7500  4 Te 2.90
Ge 0.5000 0.0000 0.2500  4 Te 2.90
Ge 0.5000 0.5000 0.0000  4 Te 2.90
Te 0.2286 0.2500 0.1250  2 Ti 2.74, 2 Ge 2.90
Te 0.2500 0.7286 0.3750  2 Ti 2.74, 2 Ge 2.90
Te 0.2500 0.7714 0.8750  2 Ti 2.74, 2 Ge 2.90
Te 0.2714 0.2500 0.6250  2 Ti 2.74, 2 Ge 2.90
Te 0.7286 0.7500 0.6250  2 Ti 2.74, 2 Ge 2.90
Te 0.7500 0.2286 0.8750  2 Ti 2.74, 2 Ge 2.90
Te 0.7500 0.2714 0.3750  2 Ti 2.74, 2 Ge 2.90
Te 0.7714 0.7500 0.1250  2 Ti 2.74, 2 Ge 2.90

Properties
Final energy = -4.7019 eV per atom

---

Here are the calculated density of states at the Fermi level numbers, same order: 0.74 0.33 0.28 1.10 0.23 (states/eV/atom).